(1)
Here is a geometry-optimized NaPrTeO structure from OQMD. Energies are from PBE-GGA.

size of the total moment: 0.0 Bohr magnetons per cell

Geometry as POSCAR:
```
NaPrTeO
1.0
7.5886 0.0000 0.0000
0.0000 7.8722 0.0000
-1.2557 0.0000 6.7150
Na Pr Te O
4 4 4 4
direct
0.1177 0.2178 0.4847
0.1177 0.2822 0.9847
0.8823 0.7178 0.0153
0.8823 0.7822 0.5153
0.4524 0.6217 0.7738
0.4524 0.8783 0.2738
0.5476 0.1217 0.7262
0.5476 0.3783 0.2262
0.1881 0.5698 0.3291
0.1881 0.9302 0.8291
0.8119 0.0698 0.1709
0.8119 0.4302 0.6709
0.4163 0.1579 0.3963
0.4163 0.3421 0.8963
0.5837 0.6579 0.1037
0.5837 0.8421 0.6037
```

(2)
Here is a geometry-optimized Na2PrTeO6 structure from OQMD. Energies are from PBE-GGA.

size of the total moment: 2.0 Bohr magnetons per cell

Geometry as POSCAR:
```
Na2PrTeO6
1.0
5.6558 0.0000 0.0000
0.0000 5.8442 0.0000
-5.6316 0.0000 8.0685
Na Pr Te O
4 2 2 12
direct
0.2325 0.0489 0.2443
0.2325 0.4511 0.7443
0.7675 0.5489 0.2557
0.7675 0.9511 0.7557
0.0000 0.0000 0.5000
0.0000 0.5000 0.0000
0.5000 0.0000 0.0000
0.5000 0.5000 0.5000
0.1699 0.1745 0.9491
0.1699 0.3255 0.4491
0.2663 0.7256 0.9294
0.2663 0.7744 0.4294
0.3935 0.0561 0.7780
0.3935 0.4439 0.2780
0.6065 0.5561 0.7220
0.6065 0.9439 0.2220
0.7337 0.2256 0.5706
0.7337 0.2744 0.0706
0.8301 0.6745 0.5509
0.8301 0.8255 0.0509
```

(3)
Here is a geometry-optimized NaPrTeO structure from OQMD. Energies are from PBE-GGA.

size of the total moment: 0.0 Bohr magnetons per cell

Geometry as POSCAR:
```
NaPrTeO
1.0
4.6350 0.0000 0.0000
0.0000 7.5510 0.0000
0.0000 0.0000 6.9852
Na Pr Te O
2 2 2 2
direct
0.0000 0.2242 0.0000
0.0000 0.7758 0.5000
0.5000 0.3848 0.3791
0.5000 0.6152 0.8791
0.0000 0.1821 0.5623
0.0000 0.8179 0.0623
0.5000 0.3727 0.0583
0.5000 0.6273 0.5583
```

(4)
Here is a geometry-optimized Na2PrYO4 structure from OQMD. Energies are from PBE-GGA.

size of the total moment: 0.0 Bohr magnetons per cell

Geometry as POSCAR:
```
Na2PrYO4
1.0
4.6779 0.0000 0.0000
0.0000 4.6779 0.0000
0.0000 0.0000 10.5382
Na Pr Y O
4 2 2 8
direct
0.0000 0.0000 0.0000
0.0000 0.5000 0.2500
0.5000 0.0000 0.7500
0.5000 0.5000 0.5000
0.0000 0.0000 0.5000
0.5000 0.5000 0.0000
0.0000 0.5000 0.7500
0.5000 0.0000 0.2500
0.0000 0.0000 0.2690
0.0000 0.0000 0.7310
0.0000 0.5000 0.5351
0.0000 0.5000 0.9649
0.5000 0.0000 0.0351
0.5000 0.0000 0.4649
0.5000 0.5000 0.2310
0.5000 0.5000 0.7690
```

(5)
Here is a geometry-optimized NaPtO4 structure from OQMD. Energies are from PBE-GGA.

size of the total moment: 1.0 Bohr magnetons per cell

Geometry as POSCAR:
```
NaPtO4
1.0
4.8597 0.0000 0.0000
0.0000 3.1196 0.0000
-0.0103 0.0000 4.8856
Na Pt O
1 1 4
direct
0.0000 0.0000 0.0000
0.5000 0.5000 0.5000
0.2336 0.5000 0.7678
0.3186 0.0000 0.3214
0.6814 0.0000 0.6786
0.7664 0.5000 0.2322
```

(6)
Here is a geometry-optimized Na2PtO3 structure from OQMD. Energies are from PBE-GGA.

size of the total moment: 0.0 Bohr magnetons per cell

Geometry as POSCAR:
```
Na2PtO3
1.0
2.7248 -4.7229 0.0000
2.7248 4.7229 0.0000
-1.8446 0.0000 10.4787
Na Pt O
8 4 12
direct
0.0000 0.5000 0.5000
0.0836 0.9164 0.7500
0.1596 0.3181 0.9992
0.3181 0.1596 0.4992
0.5000 0.0000 0.0000
0.6819 0.8404 0.5008
0.8404 0.6819 0.0008
0.9164 0.0836 0.2500
0.2504 0.7496 0.2500
0.4166 0.5834 0.7500
0.5834 0.4166 0.2500
0.7496 0.2504 0.7500
0.0478 0.2403 0.6442
0.1190 0.5927 0.8561
0.2403 0.0478 0.1442
0.3130 0.4797 0.3561
0.4073 0.8810 0.6439
0.4797 0.3130 0.8561
0.5203 0.6870 0.1439
0.5927 0.1190 0.3561
0.6870 0.5203 0.6439
0.7597 0.9522 0.8558
0.8810 0.4073 0.1439
0.9522 0.7597 0.3558
```

(7)
Here is a geometry-optimized Na5Pt3O3 structure from OQMD. Energies are from PBE-GGA.

size of the total moment: 0.2 Bohr magnetons per cell

Geometry as POSCAR:
```
Na5Pt3O3
1.0
7.5314 0.0000 0.0000
-3.7657 6.5224 0.0000
0.0000 0.0000 3.9157
Na Pt O
5 3 3
direct
0.0000 0.7443 0.0000
0.2557 0.2557 0.0000
0.3333 0.6667 0.0000
0.6667 0.3333 0.0000
0.7443 0.0000 0.0000
0.0000 0.3513 0.5000
0.3513 0.0000 0.5000
0.6487 0.6487 0.5000
0.0000 0.3887 0.0000
0.3887 0.0000 0.0000
0.6113 0.6113 0.0000
```

(8)
Here is a geometry-optimized NaPt2O4 structure from OQMD. Energies are from PBE-GGA.

size of the total moment: 0.0 Bohr magnetons per cell

Geometry as POSCAR:
```
NaPt2O4
1.0
0.0000 4.5238 4.5238
4.5238 0.0000 4.5238
4.5238 4.5238 0.0000
Na Pt O
2 4 8
direct
0.1250 0.1250 0.1250
0.8750 0.8750 0.8750
0.0000 0.5000 0.5000
0.5000 0.0000 0.5000
0.5000 0.5000 0.0000
0.5000 0.5000 0.5000
0.2708 0.2708 0.2708
0.2708 0.2708 0.6877
0.2708 0.6877 0.2708
0.3123 0.7292 0.7292
0.6877 0.2708 0.2708
0.7292 0.3123 0.7292
0.7292 0.7292 0.3123
0.7292 0.7292 0.7292
```

| no. | V (Å³ per atom) | VASP energy (eV per atom) |
| --- | --- | --- |
| 1 | 25.1 | -5.53 |
| 2 | 13.3 | -5.78 |
| 3 | 30.6 | -5.33 |
| 4 | 14.4 | -6.89 |
| 5 | 12.3 | -4.94 |
| 6 | 11.2 | -5.07 |
| 7 | 17.5 | -4.26 |
| 8 | 13.2 | -5.43 |